(1)
# CsCeCoF6

A relaxed structure of CsCeCoF6 (GGA+U, Alexandria via LeMat-Bulk).

Properties
- raw total energy (eV/atom) = -5.657
- total magnetization (μB/cell) = 7.92
- density of states at the Fermi level (states/eV per atom) = 0.157
- SG = Imma (74)

a b c (Å): 8.494 7.897 8.005
angles (deg): 119.56 122.04 90.00
Positions (direct):
F 0.464 0.659 0.270
F 0.194 0.890 0.730
F 0.806 0.110 0.270
F 0.843 0.093 0.685
Ce 0.000 0.000 0.500
Ce 0.500 0.000 0.500
F 0.536 0.890 0.730
Cs 0.808 0.558 0.616
Co 0.500 0.000 0.000
F 0.529 0.279 0.057
F 0.194 0.341 0.730
F 0.464 0.110 0.270
Co 0.500 0.500 0.000
Cs 0.192 0.442 0.384
F 0.806 0.659 0.270
F 0.536 0.341 0.730
F 0.157 0.907 0.315
F 0.471 0.721 0.943

---

(2)
# Cs2CeCoO4

A relaxed structure of Cs2CeCoO4 (GGA+U, Alexandria via LeMat-Bulk).

Properties
- raw total energy (eV/atom) = -5.910
- total magnetization (μB/cell) = 3.04
- density of states at the Fermi level (states/eV per atom) = 0.000
- SG = P2/m (10)

a b c (Å): 3.643 5.825 7.059
angles (deg): 105.99 90.00 90.00
Positions (direct):
O 0.500 0.230 0.165
O 0.500 0.770 0.835
Ce 0.500 0.500 0.000
O 0.000 0.272 0.838
Cs 0.500 0.000 0.500
O 0.000 0.728 0.162
Co 0.000 0.000 0.000
Cs 0.000 0.500 0.500

---

(3)
# Cs2CeCo2O6

A relaxed structure of Cs2CeCo2O6 (GGA+U, Alexandria via LeMat-Bulk).

Properties
- raw total energy (eV/atom) = -6.104
- total magnetization (μB/cell) = 8.00
- SG = R-3m (166)

a b c (Å): 6.213 6.213 7.440
angles (deg): 65.32 65.32 60.00
Positions (direct):
Cs 0.212 0.212 0.363
Cs 0.788 0.788 0.637
O 0.239 0.732 0.791
O 0.761 0.268 0.209
O 0.732 0.239 0.791
Co 0.597 0.597 0.210
O 0.761 0.761 0.209
Ce 0.000 0.000 0.000
O 0.268 0.761 0.209
O 0.239 0.239 0.791
Co 0.403 0.403 0.790